1.
Here is an optimized crystal structure of Mg2Sc5Ir2Pd from Alexandria via LeMat-Bulk. Energies are from PBE.

Computed properties:
space-group type: No. 127
crystal system: tetragonal
ΔH_f (0 K): -5.990 eV per formula unit

Unit cell a=3.436 b=11.034 c=11.034 alpha=90.00 beta=90.00 gamma=90.00
Element x y z (fractional)
Ir  0.000  0.133  0.633
Sc  0.500  0.000  0.500
Mg  0.000  0.825  0.675
Sc  0.500  0.199  0.070
Ir  0.000  0.633  0.867
Mg  0.000  0.325  0.825
Sc  0.500  0.301  0.570
Ir  0.000  0.867  0.367
Sc  0.500  0.930  0.199
Sc  0.500  0.801  0.930
Sc  0.500  0.070  0.801
Pd  0.000  0.500  0.500
Sc  0.500  0.430  0.301
Mg  0.000  0.175  0.325
Mg  0.000  0.675  0.175
Sc  0.500  0.570  0.699
Sc  0.500  0.699  0.430
Pd  0.000  0.000  0.000
Ir  0.000  0.367  0.133
Sc  0.500  0.500  0.000

=====

2.
Here is an optimized crystal structure of MgSiIrPd from Alexandria via LeMat-Bulk. Energies are from PBE.

Computed properties:
space-group type: No. 216
crystal system: cubic
ΔE_f (raw): -0.5307 eV per atom

Unit cell a=4.321 b=4.321 c=4.321 alpha=60.00 beta=60.00 gamma=60.00
Element x y z (fractional)
Si  0.750  0.750  0.750
Ir  0.500  0.500  0.500
Mg  0.250  0.250  0.250
Pd  0.000  0.000  0.000

=====

3.
Here is an optimized crystal structure of SmMgIrPd from Alexandria via LeMat-Bulk. Energies are from PBE.

Computed properties:
space-group type: No. 216
crystal system: cubic
ΔH_f (0 K): -2.435 eV per formula unit

Unit cell a=4.775 b=4.775 c=4.775 alpha=60.00 beta=60.00 gamma=60.00
Element x y z (fractional)
Ir  0.000  0.000  0.000
Mg  0.250  0.250  0.250
Sm  0.750  0.750  0.750
Pd  0.500  0.500  0.500

=====

4.
Here is an optimized crystal structure of Sr2Mg6IrPd from Alexandria via LeMat-Bulk. Energies are from PBE.

Computed properties:
space-group type: No. 12
crystal system: monoclinic
ΔH_f (0 K): -2.529 eV per formula unit

Unit cell a=7.225 b=7.225 c=7.254 alpha=60.01 beta=60.01 gamma=89.91
Element x y z (fractional)
Sr  0.250  0.750  0.500
Mg  0.749  0.749  0.000
Mg  0.749  0.749  0.502
Mg  0.251  0.749  0.000
Ir  0.500  0.500  0.000
Sr  0.750  0.250  0.500
Mg  0.251  0.251  0.498
Mg  0.251  0.251  0.000
Pd  0.000  0.000  0.000
Mg  0.749  0.251  0.000

=====

5.
Here is an optimized crystal structure of SrMg2IrPd from Alexandria via LeMat-Bulk. Energies are from PBE.

Computed properties:
space-group type: No. 123
crystal system: tetragonal
ΔH_f (0 K): 1.741 eV per formula unit

Unit cell a=4.853 b=5.503 c=4.853 alpha=90.00 beta=90.00 gamma=90.00
Element x y z (fractional)
Ir  0.500  0.500  0.500
Pd  0.000  0.000  0.000
Mg  0.000  0.000  0.500
Sr  0.000  0.500  0.000
Mg  0.500  0.000  0.000

=====

6.
Here is an optimized crystal structure of MgVIrPd2 from Alexandria via LeMat-Bulk. Energies are from PBE.

Computed properties:
space-group type: No. 123
crystal system: tetragonal
ΔH_f (0 K): 3.593 eV per formula unit

Unit cell a=4.990 b=4.364 c=4.990 alpha=90.00 beta=90.00 gamma=90.00
Element x y z (fractional)
Pd  0.500  0.000  0.000
Mg  0.500  0.500  0.500
Ir  0.000  0.000  0.000
V  0.000  0.500  0.000
Pd  0.000  0.000  0.500